[1]
12
Lattice="4.0541 0.0000 0.0000 0.0000 5.6799 0.0000 0.0000 0.0000 17.4462" Properties=species:S:1:pos:R:3 comment="LaNdPa | Alexandria via LeMat-Bulk | GGA-PBE | relaxed" e_above_lowest_polymorph_ev_per_atom=0.0622 total_energy_ev_per_atom=-6.170 ef_ev_per_atom=0.227 pbc="T T T"
La 3.0406 5.6783 12.6352
La 1.0136 2.8383 13.5344
La 1.0135 0.0016 4.8109
La 3.0406 2.8416 3.9118
Pa 3.0406 5.6797 7.8369
Pa 1.0135 2.8397 0.8856
Pa 1.0135 0.0002 9.6093
Pa 3.0406 2.8402 16.5605
Nd 3.0406 2.8398 10.2249
Nd 1.0135 5.6798 15.9447
Nd 1.0135 2.8401 7.2213
Nd 3.0406 0.0001 1.5015



[2]
4
Lattice="-4.2246 -2.4457 -1.4450 1.9472 -4.3225 1.6231 -2.0067 0.7943 4.5224" Properties=species:S:1:pos:R:3 comment="LaNd2Pa | Alexandria via LeMat-Bulk | GGA-PBE | relaxed" e_above_lowest_polymorph_ev_per_atom=0.1253 total_energy_ev_per_atom=-5.709 ef_ev_per_atom=0.281 pbc="T T T"
Pa -2.1420 -2.9869 2.3503
Nd -1.0033 0.3971 2.2612
Nd 0.9736 -2.1612 0.8116
La -2.1123 -1.2228 -0.7225



[3]
3
Lattice="3.4133 0.0000 0.0000 0.0000 3.4133 0.0000 -1.7067 -1.7067 8.0786" Properties=species:S:1:pos:R:3 comment="LaNdPa | Alexandria via LeMat-Bulk | GGA-PBE | relaxed" e_above_lowest_polymorph_ev_per_atom=0.0000 total_energy_ev_per_atom=-6.232 ef_ev_per_atom=0.165 pbc="T T T"
Pa 1.7067 1.7067 2.7010
Nd 0.0000 0.0000 0.2621
La 0.0000 0.0000 5.1155



[4]
4
Lattice="3.4661 0.0000 0.0000 0.0000 3.4661 0.0000 0.0000 0.0000 10.7951" Properties=species:S:1:pos:R:3 comment="LaNd2Pa | Alexandria via LeMat-Bulk | GGA-PBE | relaxed" e_above_lowest_polymorph_ev_per_atom=0.0000 total_energy_ev_per_atom=-5.834 ef_ev_per_atom=0.156 pbc="T T T"
Pa 1.7331 1.7331 5.3975
Nd 0.0000 0.0000 7.8073
Nd 0.0000 0.0000 2.9878
La 1.7331 1.7331 0.0000



[5]
12
Lattice="6.9217 0.0000 0.0000 0.0000 7.2795 0.0000 -3.4609 -3.6397 6.7232" Properties=species:S:1:pos:R:3 comment="LaNd2PaRu2 | Alexandria via LeMat-Bulk | GGA-PBE | relaxed" total_energy_ev_per_atom=-7.337 ef_ev_per_atom=-0.252 pbc="T T T"
La 1.7304 0.0000 0.0000
La 5.1913 0.0000 0.0000
Nd 3.4609 5.0474 2.6659
Nd 0.0000 2.2321 2.6659
Nd 3.4609 1.4076 4.0573
Nd 0.0000 -1.4076 4.0573
Pa 5.1913 3.6397 0.0000
Pa 1.7304 3.6397 0.0000
Ru 0.0000 1.4888 5.4844
Ru 3.4609 2.1510 1.2388
Ru 0.0000 5.1285 1.2388
Ru 3.4609 -1.4888 5.4844



[6]
16
Lattice="-3.0523 3.9769 -0.6122 -4.9443 -3.1614 4.1142 5.7096 6.1680 11.6010" Properties=species:S:1:pos:R:3 comment="La5NdPb2 | Alexandria via LeMat-Bulk | GGA-PBE | relaxed" total_energy_ev_per_atom=-4.983 ef_ev_per_atom=-0.380 pbc="T T T"
La 0.0000 0.0000 0.0000
La 0.3826 1.5033 7.8576
La 1.8495 3.0737 10.7457
La -1.0842 -0.0671 4.9696
La 1.4024 1.5292 2.9417
La -0.6371 1.4775 12.7735
La 2.2502 6.6052 10.8557
La -4.5372 0.3784 4.2473
La -0.6404 3.4983 5.0850
La -1.6467 3.4854 10.0180
Nd 2.8548 3.0840 5.8005
Nd -2.4722 -1.5807 2.0571
Pb 0.8250 5.0622 7.9384
Pb -3.1120 1.9214 7.1646
Pb -2.0805 1.9457 2.1801
Pb -0.2065 5.0379 12.9228



[7]
16
Lattice="5.1836 0.0000 0.0000 0.0000 5.1836 0.0000 0.0000 0.0000 21.0878" Properties=species:S:1:pos:R:3 comment="La12Nd3Pb | Alexandria via LeMat-Bulk | GGA-PBE | relaxed" total_energy_ev_per_atom=-4.901 ef_ev_per_atom=-0.079 pbc="T T T"
La 2.5918 2.5918 0.0000
La 2.5918 2.5918 5.2629
La 2.5918 2.5918 10.5439
La 2.5918 2.5918 15.8249
La 2.5918 0.0000 2.5434
La 2.5918 0.0000 7.8628
La 2.5918 0.0000 13.2250
La 2.5918 0.0000 18.5444
La 0.0000 2.5918 2.5434
La 0.0000 2.5918 7.8628
La 0.0000 2.5918 13.2250
La 0.0000 2.5918 18.5444
Nd 0.0000 0.0000 5.2442
Nd 0.0000 0.0000 10.5439
Nd 0.0000 0.0000 15.8436
Pb 0.0000 0.0000 0.0000



[8]
19
Lattice="8.8209 0.2541 -1.6114 -1.9760 8.6005 -1.6114 0.1964 0.2541 8.9648" Properties=species:S:1:pos:R:3 comment="La12Nd6Pb | Alexandria via LeMat-Bulk | GGA-PBE | relaxed" total_energy_ev_per_atom=-4.772 ef_ev_per_atom=0.041 pbc="T T T"
La 4.9103 1.7422 4.0045
La 0.4491 5.1910 4.0041
La 4.0129 5.1908 -0.3657
La 2.1311 7.3664 1.7375
La 6.5922 3.9176 1.7379
La 3.0284 3.9178 6.1077
La 0.4549 8.8535 4.6141
La 0.8207 6.4384 -1.6102
La -0.3652 2.4160 6.2248
La 6.5865 0.2551 1.1279
La 6.2206 2.6703 7.3522
La 7.4065 6.6927 -0.4828
Nd 1.0188 1.3153 3.1921
Nd 6.6077 5.5529 5.3863
Nd 3.7100 7.7914 5.3888
Nd 6.0225 7.7934 2.5499
Nd 0.4336 3.5557 0.3557
Nd 3.3313 1.3173 0.3532
Pb 0.0000 0.0000 0.0000



[9]
4
Lattice="4.9460 0.0000 0.0000 0.0000 5.0599 0.0000 0.0000 0.0000 5.0599" Properties=species:S:1:pos:R:3 comment="LaNd2Pb | Alexandria via LeMat-Bulk | GGA-PBE | relaxed" e_above_lowest_polymorph_ev_per_atom=0.0000 total_energy_ev_per_atom=-4.898 ef_ev_per_atom=-0.355 pbc="T T T"
Pb 2.4730 0.0000 0.0000
Nd 0.0000 0.0000 2.5299
Nd 0.0000 2.5299 0.0000
La 2.4730 2.5299 2.5299



[10]
7
Lattice="3.6248 0.0000 0.0000 0.0000 8.3759 -0.9883 -1.8124 -3.6377 8.2807" Properties=species:S:1:pos:R:3 comment="La2Nd3Pb2 | Alexandria via LeMat-Bulk | GGA-PBE | relaxed" total_energy_ev_per_atom=-4.713 ef_ev_per_atom=-0.203 pbc="T T T"
La 1.8124 3.3760 5.5832
La 0.0000 1.3622 1.7092
Nd 0.0000 4.1879 -0.4941
Nd 0.0000 5.0081 2.7305
Nd 1.8124 -0.2700 4.5619
Pb 1.8124 6.8567 0.4353
Pb 0.0000 -2.1185 6.8571



[11]
18
Lattice="-0.4426 7.3063 -4.1801 -1.7763 -6.7606 -5.2435 -8.4539 0.6482 2.0281" Properties=species:S:1:pos:R:3 comment="La2Nd3Pb4 | Alexandria via LeMat-Bulk | GGA-PBE | relaxed" e_above_lowest_polymorph_ev_per_atom=0.0000 total_energy_ev_per_atom=-4.953 ef_ev_per_atom=-0.621 pbc="T T T"
La -3.2892 2.9912 -2.7149
La -8.7704 1.9452 -6.4911
La -7.3837 -1.7973 -4.6806
La -1.9025 -0.7513 -0.9044
Nd -5.1151 -3.0562 -1.6077
Nd -1.1095 0.2729 -4.7118
Nd -7.8377 4.2807 -2.6587
Nd -4.5337 0.6797 -6.4724
Nd -2.8351 -3.0867 -4.7367
Nd -6.1392 0.5142 -0.9231
Pb -5.0693 5.8416 -2.8294
Pb -2.2436 -1.2691 -7.5153
Pb -5.6035 -4.6477 -4.5661
Pb -8.4292 2.4631 0.1198
Pb -2.4200 3.0906 -5.8925
Pb -6.5856 1.6117 -4.0461
Pb -8.2528 -1.8966 -1.5030
Pb -4.0873 -0.4178 -3.3493



[12]
12
Lattice="6.5984 0.0000 0.0000 0.0000 7.6739 0.0038 -3.2992 -1.9182 8.1897" Properties=species:S:1:pos:R:3 comment="La2NdPb3 | Alexandria via LeMat-Bulk | GGA-PBE | relaxed" e_above_lowest_polymorph_ev_per_atom=0.0614 total_energy_ev_per_atom=-4.765 ef_ev_per_atom=-0.473 pbc="T T T"
La 3.2915 3.8348 2.7347
La 3.3069 -0.0021 2.7328
La -0.0077 5.7579 5.4607
La 0.0077 1.9209 5.4588
Nd 6.5653 5.7554 0.0029
Nd 0.0331 1.9185 0.0010
Pb 3.3362 1.9185 0.0010
Pb 3.2622 5.7554 0.0029
Pb 0.0084 0.0032 2.6972
Pb 3.3076 1.9156 5.4944
Pb -0.0084 3.8402 2.6991
Pb 3.2908 5.7525 5.4964



Question: Which formula does entry 7 have?
Answer: La12Nd3Pb



Copy entry 8 word for word.
19
Lattice="8.8209 0.2541 -1.6114 -1.9760 8.6005 -1.6114 0.1964 0.2541 8.9648" Properties=species:S:1:pos:R:3 comment="La12Nd6Pb | Alexandria via LeMat-Bulk | GGA-PBE | relaxed" total_energy_ev_per_atom=-4.772 ef_ev_per_atom=0.041 pbc="T T T"
La 4.9103 1.7422 4.0045
La 0.4491 5.1910 4.0041
La 4.0129 5.1908 -0.3657
La 2.1311 7.3664 1.7375
La 6.5922 3.9176 1.7379
La 3.0284 3.9178 6.1077
La 0.4549 8.8535 4.6141
La 0.8207 6.4384 -1.6102
La -0.3652 2.4160 6.2248
La 6.5865 0.2551 1.1279
La 6.2206 2.6703 7.3522
La 7.4065 6.6927 -0.4828
Nd 1.0188 1.3153 3.1921
Nd 6.6077 5.5529 5.3863
Nd 3.7100 7.7914 5.3888
Nd 6.0225 7.7934 2.5499
Nd 0.4336 3.5557 0.3557
Nd 3.3313 1.3173 0.3532
Pb 0.0000 0.0000 0.0000